# PBE AuN2Cl3, optimized geometry
data_AuN2Cl3
_chemical_formula_sum 'Au4 N8 Cl12'
_cell_length_a 5.4158
_cell_length_b 15.3460
_cell_length_c 6.6917
_cell_angle_alpha 90.00
_cell_angle_beta 99.83
_cell_angle_gamma 90.00
_symmetry_space_group_name_H-M 'C 1 2/c 1'
_symmetry_Int_Tables_number 15
loop_
_symmetry_equiv_pos_as_xyz
'x,y,z'
'-x,-y,-z'
'-x,y,-z+1/2'
'x,-y,z+1/2'
'x+1/2,y+1/2,z'
'-x+1/2,-y+1/2,-z'
'-x+1/2,y+1/2,-z+1/2'
'x+1/2,-y+1/2,z+1/2'
loop_
_atom_site_label
_atom_site_type_symbol
_atom_site_fract_x
_atom_site_fract_y
_atom_site_fract_z
_atom_site_occupancy
Au1 Au 0.0000 0.0666 0.2500 1
N1 N 0.2440 0.1642 0.1467 1
Cl1 Cl 0.0000 0.3006 0.7500 1
Cl2 Cl 0.2435 0.0664 0.5818 1
# * raw formation energy: 5.86 eV per formula unit
# * crystal system: monoclinic
# * volume: 548.0 Å³ per cell

***

# PBE Au2NCl, optimized geometry
data_Au2NCl
_chemical_formula_sum 'Au8 N4 Cl4'
_cell_length_a 6.4309
_cell_length_b 6.4309
_cell_length_c 6.4309
_cell_angle_alpha 90.00
_cell_angle_beta 90.00
_cell_angle_gamma 90.00
_symmetry_space_group_name_H-M 'F m -3 m'
_symmetry_Int_Tables_number 225
_symmetry_space_group_name_Hall '-F 4 2 3'
loop_
_atom_site_label
_atom_site_type_symbol
_atom_site_fract_x
_atom_site_fract_y
_atom_site_fract_z
_atom_site_occupancy
Au1 Au 0.2500 0.2500 0.2500 1
N1 N 0.0000 0.0000 0.0000 1
Cl1 Cl 0.0000 0.0000 0.5000 1
# * energy above the most stable polymorph in this dataset: 0.746 eV per atom
# * raw formation energy: 5.77 eV per formula unit
# * crystal system: cubic
# * volume: 266.0 Å³ per cell

***

# PBE AuN3Cl, optimized geometry
data_AuN3Cl
_chemical_formula_sum 'Au1 N3 Cl1'
_cell_length_a 4.0664
_cell_length_b 4.0664
_cell_length_c 4.0664
_cell_angle_alpha 90.00
_cell_angle_beta 90.00
_cell_angle_gamma 90.00
_symmetry_space_group_name_H-M 'P m -3 m'
_symmetry_Int_Tables_number 221
_symmetry_space_group_name_Hall '-P 4 2 3'
loop_
_atom_site_label
_atom_site_type_symbol
_atom_site_fract_x
_atom_site_fract_y
_atom_site_fract_z
_atom_site_occupancy
Au1 Au 0.0000 0.0000 0.0000 1
N1 N 0.0000 0.0000 0.5000 1
Cl1 Cl 0.5000 0.5000 0.5000 1
# * raw formation energy: 14.18 eV per formula unit
# * crystal system: cubic
# * volume: 67.2 Å³ per cell

***

# PBE Au4N2Cl5, optimized geometry
data_Au4N2Cl5
_chemical_formula_sum 'Au4 N2 Cl5'
_cell_length_a 6.6849
_cell_length_b 7.2785
_cell_length_c 7.7258
_cell_angle_alpha 70.61
_cell_angle_beta 68.92
_cell_angle_gamma 74.59
_symmetry_space_group_name_H-M 'P -1'
_symmetry_Int_Tables_number 2
loop_
_symmetry_equiv_pos_as_xyz
'x,y,z'
'-x,-y,-z'
loop_
_atom_site_label
_atom_site_type_symbol
_atom_site_fract_x
_atom_site_fract_y
_atom_site_fract_z
_atom_site_occupancy
Au1 Au 0.1005 0.1491 0.1504 1
Au2 Au 0.2767 0.9831 0.7842 1
N1 N 0.4790 0.5820 0.4798 1
Cl1 Cl 0.0000 0.5000 0.0000 1
Cl2 Cl 0.0023 0.8193 0.3410 1
Cl3 Cl 0.4545 0.2378 0.1007 1
# * raw formation energy: -1.22 eV per formula unit
# * crystal system: triclinic
# * volume: 326.3 Å³ per cell

***

# PBE AuNCl2, optimized geometry
data_AuNCl2
_chemical_formula_sum 'Au4 N4 Cl8'
_cell_length_a 6.6120
_cell_length_b 6.6120
_cell_length_c 6.6120
_cell_angle_alpha 90.00
_cell_angle_beta 90.00
_cell_angle_gamma 90.00
_symmetry_space_group_name_H-M 'F m -3 m'
_symmetry_Int_Tables_number 225
_symmetry_space_group_name_Hall '-F 4 2 3'
loop_
_atom_site_label
_atom_site_type_symbol
_atom_site_fract_x
_atom_site_fract_y
_atom_site_fract_z
_atom_site_occupancy
Au1 Au 0.0000 0.0000 0.0000 1
N1 N 0.0000 0.0000 0.5000 1
Cl1 Cl 0.2500 0.2500 0.2500 1
# * energy above the most stable polymorph in this dataset: 0.247 eV per atom
# * raw formation energy: 6.02 eV per formula unit
# * crystal system: cubic
# * volume: 289.1 Å³ per cell

***

# PBE Au2N2Cl, optimized geometry
data_Au2N2Cl
_chemical_formula_sum 'Au2 N2 Cl1'
_cell_length_a 3.2529
_cell_length_b 6.4375
_cell_length_c 7.7507
_cell_angle_alpha 92.91
_cell_angle_beta 90.63
_cell_angle_gamma 104.53
_symmetry_space_group_name_H-M 'P -1'
_symmetry_Int_Tables_number 2
loop_
_symmetry_equiv_pos_as_xyz
'x,y,z'
'-x,-y,-z'
loop_
_atom_site_label
_atom_site_type_symbol
_atom_site_fract_x
_atom_site_fract_y
_atom_site_fract_z
_atom_site_occupancy
Au1 Au 0.1658 0.3312 0.0001 1
N1 N 0.0407 0.0893 0.5080 1
Cl1 Cl 0.5000 0.0000 0.0000 1
# * raw formation energy: 0.56 eV per formula unit
# * crystal system: triclinic
# * volume: 156.9 Å³ per cell

***

# PBE Au2NCl, optimized geometry
data_Au2NCl
_chemical_formula_sum 'Au8 N4 Cl4'
_cell_length_a 5.2779
_cell_length_b 5.2779
_cell_length_c 12.0605
_cell_angle_alpha 90.00
_cell_angle_beta 90.00
_cell_angle_gamma 90.00
_symmetry_space_group_name_H-M 'I -4 2 d'
_symmetry_Int_Tables_number 122
_symmetry_space_group_name_Hall 'I -4 2bw'
loop_
_atom_site_label
_atom_site_type_symbol
_atom_site_fract_x
_atom_site_fract_y
_atom_site_fract_z
_atom_site_occupancy
Au1 Au 0.0783 0.2500 0.1250 1
N1 N 0.0000 0.0000 0.0000 1
Cl1 Cl 0.0000 0.0000 0.5000 1
# * energy above the most stable polymorph in this dataset: 0.000 eV per atom
# * raw formation energy: 2.79 eV per formula unit
# * crystal system: tetragonal
# * volume: 336.0 Å³ per cell

***

# PBE AuNCl2, optimized geometry
data_AuNCl2
_chemical_formula_sum 'Au3 N3 Cl6'
_cell_length_a 4.0114
_cell_length_b 4.0114
_cell_length_c 21.8579
_cell_angle_alpha 90.00
_cell_angle_beta 90.00
_cell_angle_gamma 120.00
_symmetry_space_group_name_H-M 'R -3 m'
_symmetry_Int_Tables_number 166
_symmetry_space_group_name_Hall '-R 3 2"'
loop_
_atom_site_label
_atom_site_type_symbol
_atom_site_fract_x
_atom_site_fract_y
_atom_site_fract_z
_atom_site_occupancy
Au1 Au 0.0000 0.0000 0.0000 1
N1 N 0.0000 0.0000 0.5000 1
Cl1 Cl 0.0000 0.0000 0.1028 1
# * energy above the most stable polymorph in this dataset: 0.000 eV per atom
# * raw formation energy: 5.04 eV per formula unit
# * crystal system: trigonal
# * volume: 304.6 Å³ per cell

***

# PBE AuN2Cl, optimized geometry
data_AuN2Cl
_chemical_formula_sum 'Au3 N6 Cl3'
_cell_length_a 3.2281
_cell_length_b 3.2281
_cell_length_c 18.4763
_cell_angle_alpha 90.00
_cell_angle_beta 90.00
_cell_angle_gamma 120.00
_symmetry_space_group_name_H-M 'R -3 m'
_symmetry_Int_Tables_number 166
_symmetry_space_group_name_Hall '-R 3 2"'
loop_
_atom_site_label
_atom_site_type_symbol
_atom_site_fract_x
_atom_site_fract_y
_atom_site_fract_z
_atom_site_occupancy
Au1 Au 0.0000 0.0000 0.0000 1
N1 N 0.0000 0.0000 0.1082 1
Cl1 Cl 0.0000 0.0000 0.5000 1
# * energy above the most stable polymorph in this dataset: 1.993 eV per atom
# * raw formation energy: 8.07 eV per formula unit
# * crystal system: trigonal
# * volume: 166.7 Å³ per cell

***

# PBE AuN3Cl, optimized geometry
data_AuN3Cl
_chemical_formula_sum 'Au1 N3 Cl1'
_cell_length_a 3.8631
_cell_length_b 3.8631
_cell_length_c 3.8631
_cell_angle_alpha 90.00
_cell_angle_beta 90.00
_cell_angle_gamma 90.00
_symmetry_space_group_name_H-M 'P m -3 m'
_symmetry_Int_Tables_number 221
_symmetry_space_group_name_Hall '-P 4 2 3'
loop_
_atom_site_label
_atom_site_type_symbol
_atom_site_fract_x
_atom_site_fract_y
_atom_site_fract_z
_atom_site_occupancy
Au1 Au 0.0000 0.0000 0.0000 1
N1 N 0.0000 0.5000 0.5000 1
Cl1 Cl 0.5000 0.5000 0.5000 1
# * raw formation energy: 14.94 eV per formula unit
# * crystal system: cubic
# * volume: 57.7 Å³ per cell

***

# PBE AuN2Cl2, optimized geometry
data_AuN2Cl2
_chemical_formula_sum 'Au2 N4 Cl4'
_cell_length_a 8.4411
_cell_length_b 3.6491
_cell_length_c 11.0322
_cell_angle_alpha 90.00
_cell_angle_beta 99.94
_cell_angle_gamma 90.00
_symmetry_space_group_name_H-M 'C 1 2/m 1'
_symmetry_Int_Tables_number 12
loop_
_symmetry_equiv_pos_as_xyz
'x,y,z'
'-x,-y,-z'
'-x,y,-z'
'x,-y,z'
'x+1/2,y+1/2,z'
'-x+1/2,-y+1/2,-z'
'-x+1/2,y+1/2,-z'
'x+1/2,-y+1/2,z'
loop_
_atom_site_label
_atom_site_type_symbol
_atom_site_fract_x
_atom_site_fract_y
_atom_site_fract_z
_atom_site_occupancy
Au1 Au 0.0000 0.0000 0.0000 1
N1 N 0.0612 0.5000 0.5285 1
Cl1 Cl 0.0633 0.5000 0.8670 1
# * raw formation energy: -0.56 eV per formula unit
# * crystal system: monoclinic
# * volume: 334.7 Å³ per cell

***

# PBE NbAuN2Cl, optimized geometry
data_NbAuN2Cl
_chemical_formula_sum 'Nb1 Au1 N2 Cl1'
_cell_length_a 4.0290
_cell_length_b 4.0290
_cell_length_c 5.3289
_cell_angle_alpha 90.00
_cell_angle_beta 90.00
_cell_angle_gamma 90.00
_symmetry_space_group_name_H-M 'P 4/m m m'
_symmetry_Int_Tables_number 123
_symmetry_space_group_name_Hall '-P 4 2'
loop_
_atom_site_label
_atom_site_type_symbol
_atom_site_fract_x
_atom_site_fract_y
_atom_site_fract_z
_atom_site_occupancy
Nb1 Nb 0.0000 0.0000 0.0000 1
Au1 Au 0.5000 0.5000 0.5000 1
N1 N 0.0000 0.5000 0.0000 1
Cl1 Cl 0.0000 0.0000 0.5000 1
# * raw formation energy: 2.38 eV per formula unit
# * crystal system: tetragonal
# * volume: 86.5 Å³ per cell

***

# PBE PdAu2N4Cl8, optimized geometry
data_PdAu2N4Cl8
_chemical_formula_sum 'Pd1 Au2 N4 Cl8'
_cell_length_a 7.1842
_cell_length_b 8.2915
_cell_length_c 9.0542
_cell_angle_alpha 107.85
_cell_angle_beta 112.75
_cell_angle_gamma 100.63
_symmetry_space_group_name_H-M 'P -1'
_symmetry_Int_Tables_number 2
loop_
_symmetry_equiv_pos_as_xyz
'x,y,z'
'-x,-y,-z'
loop_
_atom_site_label
_atom_site_type_symbol
_atom_site_fract_x
_atom_site_fract_y
_atom_site_fract_z
_atom_site_occupancy
Pd1 Pd 0.0000 0.0000 0.0000 1
Au1 Au 0.4582 0.7111 0.9379 1
N1 N 0.1443 0.8909 0.1427 1
N2 N 0.2618 0.1468 0.4941 1
Cl1 Cl 0.1625 0.4513 0.7713 1
Cl2 Cl 0.2411 0.0177 0.8713 1
Cl3 Cl 0.3160 0.7872 0.1490 1
Cl4 Cl 0.4068 0.3764 0.2583 1
# * energy above the most stable polymorph in this dataset: 0.000 eV per atom
# * raw formation energy: 13.64 eV per formula unit
# * crystal system: triclinic
# * volume: 444.3 Å³ per cell

***

# PBE PdAu2N4Cl8, optimized geometry
data_PdAu2N4Cl8
_chemical_formula_sum 'Pd1 Au2 N4 Cl8'
_cell_length_a 7.0825
_cell_length_b 7.9642
_cell_length_c 8.8297
_cell_angle_alpha 67.13
_cell_angle_beta 72.67
_cell_angle_gamma 72.14
_symmetry_space_group_name_H-M 'P -1'
_symmetry_Int_Tables_number 2
loop_
_symmetry_equiv_pos_as_xyz
'x,y,z'
'-x,-y,-z'
loop_
_atom_site_label
_atom_site_type_symbol
_atom_site_fract_x
_atom_site_fract_y
_atom_site_fract_z
_atom_site_occupancy
Pd1 Pd 0.0000 0.0000 0.0000 1
Au1 Au 0.4827 0.2588 0.2618 1
N1 N 0.0798 0.7317 0.1597 1
N2 N 0.0827 0.0944 0.1533 1
Cl1 Cl 0.2303 0.0888 0.3945 1
Cl2 Cl 0.2673 0.5725 0.8700 1
Cl3 Cl 0.2911 0.4858 0.3765 1
Cl4 Cl 0.3422 0.9920 0.8436 1
# * energy above the most stable polymorph in this dataset: 0.095 eV per atom
# * raw formation energy: 15.06 eV per formula unit
# * crystal system: triclinic
# * volume: 427.6 Å³ per cell

***

# PBE PdAuNCl2, optimized geometry
data_PdAuNCl2
_chemical_formula_sum 'Pd1 Au1 N1 Cl2'
_cell_length_a 5.1004
_cell_length_b 5.1004
_cell_length_c 3.7446
_cell_angle_alpha 90.00
_cell_angle_beta 90.00
_cell_angle_gamma 90.00
_symmetry_space_group_name_H-M 'P 4/m m m'
_symmetry_Int_Tables_number 123
_symmetry_space_group_name_Hall '-P 4 2'
loop_
_atom_site_label
_atom_site_type_symbol
_atom_site_fract_x
_atom_site_fract_y
_atom_site_fract_z
_atom_site_occupancy
Pd1 Pd 0.0000 0.0000 0.0000 1
Au1 Au 0.5000 0.5000 0.0000 1
N1 N 0.0000 0.0000 0.5000 1
Cl1 Cl 0.0000 0.5000 0.5000 1
# * raw formation energy: 4.53 eV per formula unit
# * crystal system: tetragonal
# * volume: 97.4 Å³ per cell

***

# PBE Rb2AuNCl6, optimized geometry
data_Rb2AuNCl6
_chemical_formula_sum 'Rb4 Au2 N2 Cl12'
_cell_length_a 7.5126
_cell_length_b 7.5126
_cell_length_c 10.5730
_cell_angle_alpha 90.00
_cell_angle_beta 90.00
_cell_angle_gamma 90.00
_symmetry_space_group_name_H-M 'I 4/m m m'
_symmetry_Int_Tables_number 139
_symmetry_space_group_name_Hall '-I 4 2'
loop_
_atom_site_label
_atom_site_type_symbol
_atom_site_fract_x
_atom_site_fract_y
_atom_site_fract_z
_atom_site_occupancy
Rb1 Rb 0.0000 0.5000 0.2500 1
Au1 Au 0.0000 0.0000 0.0000 1
N1 N 0.0000 0.0000 0.5000 1
Cl1 Cl 0.0000 0.0000 0.3012 1
Cl2 Cl 0.2194 0.2194 0.0000 1
# * raw formation energy: -5.07 eV per formula unit
# * crystal system: tetragonal
# * volume: 596.7 Å³ per cell

***

# PBE AuSN2Cl, optimized geometry
data_AuSN2Cl
_chemical_formula_sum 'Au1 S1 N2 Cl1'
_cell_length_a 3.9615
_cell_length_b 3.9615
_cell_length_c 6.1960
_cell_angle_alpha 90.00
_cell_angle_beta 90.00
_cell_angle_gamma 90.00
_symmetry_space_group_name_H-M 'P 4/m m m'
_symmetry_Int_Tables_number 123
_symmetry_space_group_name_Hall '-P 4 2'
loop_
_atom_site_label
_atom_site_type_symbol
_atom_site_fract_x
_atom_site_fract_y
_atom_site_fract_z
_atom_site_occupancy
Au1 Au 0.0000 0.0000 0.0000 1
S1 S 0.0000 0.0000 0.5000 1
N1 N 0.0000 0.5000 0.0000 1
Cl1 Cl 0.5000 0.5000 0.5000 1
# * energy above the most stable polymorph in this dataset: 0.000 eV per atom
# * raw formation energy: 9.19 eV per formula unit
# * crystal system: tetragonal
# * volume: 97.2 Å³ per cell

***

# PBE AuS2NCl, optimized geometry
data_AuS2NCl
_chemical_formula_sum 'Au1 S2 N1 Cl1'
_cell_length_a 4.9015
_cell_length_b 4.9015
_cell_length_c 5.2206
_cell_angle_alpha 90.00
_cell_angle_beta 90.00
_cell_angle_gamma 90.00
_symmetry_space_group_name_H-M 'P 4/m m m'
_symmetry_Int_Tables_number 123
_symmetry_space_group_name_Hall '-P 4 2'
loop_
_atom_site_label
_atom_site_type_symbol
_atom_site_fract_x
_atom_site_fract_y
_atom_site_fract_z
_atom_site_occupancy
Au1 Au 0.0000 0.0000 0.0000 1
S1 S 0.0000 0.5000 0.0000 1
N1 N 0.5000 0.5000 0.5000 1
Cl1 Cl 0.0000 0.0000 0.5000 1
# * energy above the most stable polymorph in this dataset: 0.615 eV per atom
# * raw formation energy: 8.08 eV per formula unit
# * crystal system: tetragonal
# * volume: 125.4 Å³ per cell

***

# PBE AuS2NCl, optimized geometry
data_AuS2NCl
_chemical_formula_sum 'Au1 S2 N1 Cl1'
_cell_length_a 3.8128
_cell_length_b 3.8128
_cell_length_c 7.5202
_cell_angle_alpha 90.00
_cell_angle_beta 90.00
_cell_angle_gamma 90.00
_symmetry_space_group_name_H-M 'P 4/m m m'
_symmetry_Int_Tables_number 123
_symmetry_space_group_name_Hall '-P 4 2'
loop_
_atom_site_label
_atom_site_type_symbol
_atom_site_fract_x
_atom_site_fract_y
_atom_site_fract_z
_atom_site_occupancy
Au1 Au 0.0000 0.0000 0.0000 1
S1 S 0.0000 0.5000 0.5000 1
N1 N 0.5000 0.5000 0.5000 1
Cl1 Cl 0.5000 0.5000 0.0000 1
# * energy above the most stable polymorph in this dataset: 0.000 eV per atom
# * raw formation energy: 5.01 eV per formula unit
# * crystal system: tetragonal
# * volume: 109.3 Å³ per cell

***

# PBE AuSNCl2, optimized geometry
data_AuSNCl2
_chemical_formula_sum 'Au1 S1 N1 Cl2'
_cell_length_a 5.1204
_cell_length_b 5.1204
_cell_length_c 4.8009
_cell_angle_alpha 90.00
_cell_angle_beta 90.00
_cell_angle_gamma 90.00
_symmetry_space_group_name_H-M 'P 4/m m m'
_symmetry_Int_Tables_number 123
_symmetry_space_group_name_Hall '-P 4 2'
loop_
_atom_site_label
_atom_site_type_symbol
_atom_site_fract_x
_atom_site_fract_y
_atom_site_fract_z
_atom_site_occupancy
Au1 Au 0.0000 0.0000 0.0000 1
S1 S 0.0000 0.0000 0.5000 1
N1 N 0.5000 0.5000 0.5000 1
Cl1 Cl 0.0000 0.5000 0.0000 1
# * energy above the most stable polymorph in this dataset: 0.076 eV per atom
# * raw formation energy: 6.51 eV per formula unit
# * crystal system: tetragonal
# * volume: 125.9 Å³ per cell